{"formula": "Dy3Mg3AlIr2", "functional": "GGA-PBE", "state": "optimized geometry", "lattice": [[7.326, 0.000, 0.000], [-3.663, 6.345, 0.000], [0.000, 0.000, 4.163]], "species": ["Dy", "Dy", "Dy", "Mg", "Mg", "Mg", "Al", "Ir", "Ir"], "fractional_positions": [[0.000, 0.425, 0.000], [0.425, 0.000, 0.000], [0.575, 0.575, 0.000], [0.000, 0.748, 0.500], [0.252, 0.252, 0.500], [0.748, 0.000, 0.500], [0.000, 0.000, 0.000], [0.333, 0.667, 0.500], [0.667, 0.333, 0.500]], "vol_a3_per_atom": 21.502, "dft_energy_ev_per_cell": -44.40}